Nd5Er2Sb4, relaxed, DFT PBE-GGA; magnetic moment = 0.0 Bohr magnetons per cell; total DFT energy (no corrections) = -4.92 eV/atom; D(E_F) = 1.14 states/eV per atom; volume = 32.65 A^3/atom
1.0
12.6996 -1.7333 0.0000
12.6996 1.7333 0.0000
-0.3010 0.0000 8.1582
Nd Er Sb
5 2 4
direct
0.0000 0.0000 0.0000
0.3221 0.3221 0.5119
0.3471 0.3471 0.0104
0.6529 0.6529 0.9896
0.6779 0.6779 0.4881
0.4478 0.4478 0.3337
0.5522 0.5522 0.6663
0.2376 0.2376 0.2198
0.4333 0.4333 0.7102
0.5667 0.5667 0.2898
0.7624 0.7624 0.7802

Mg3PtBr, relaxed, DFT PBE-GGA; magnetic moment = 0.0 Bohr magnetons per cell; total DFT energy (no corrections) = -2.12 eV/atom; D(E_F) = 0.38 states/eV per atom; volume = 23.52 A^3/atom
1.0
4.8993 0.0000 0.0000
0.0000 4.8993 0.0000
0.0000 0.0000 4.8993
Mg Pt Br
3 1 1
direct
0.0000 0.0000 0.5000
0.0000 0.5000 0.0000
0.5000 0.0000 0.0000
0.5000 0.5000 0.5000
0.0000 0.0000 0.0000

LiHf2B, relaxed, DFT PBE-GGA; magnetic moment = 0.0 Bohr magnetons per cell; ΔE_f = 123 kJ/mol of formula units; D(E_F) = 0.30 states/eV per atom; volume = 17.63 A^3/atom
1.0
-3.4981 3.4981 2.8812
3.4981 -3.4981 2.8812
3.4981 3.4981 -2.8812
Li Hf B
2 4 2
direct
0.0000 0.0000 0.0000
0.7500 0.2500 0.5000
0.1878 0.6250 0.0628
0.3750 0.4378 0.5628
0.5622 0.1250 0.9372
0.8750 0.8122 0.4372
0.2500 0.7500 0.5000
0.5000 0.5000 0.0000

Pm2Al3Zn2, relaxed, DFT PBE-GGA; magnetic moment = 0.0 Bohr magnetons per cell; ΔE_f = -279 kJ/mol of formula units; D(E_F) = 0.36 states/eV per atom; volume = 20.92 A^3/atom
1.0
5.3608 -2.1979 0.0000
5.3608 2.1979 0.0000
-2.7097 0.0000 6.2148
Pm Al Zn
2 3 2
direct
0.1520 0.1520 0.2763
0.8480 0.8480 0.7237
0.4030 0.4030 0.0741
0.5000 0.5000 0.5000
0.5970 0.5970 0.9259
0.1483 0.1483 0.7562
0.8517 0.8517 0.2438

TiSi3B, relaxed, DFT PBE-GGA; magnetic moment = 0.0 Bohr magnetons per cell; total DFT energy (no corrections) = -4.73 eV/atom; D(E_F) = 0.39 states/eV per atom; volume = 21.38 A^3/atom
1.0
4.7456 0.0000 0.0000
0.0000 4.7456 0.0000
0.0000 0.0000 4.7456
Ti Si B
1 3 1
direct
0.0000 0.0000 0.0000
0.0000 0.0000 0.5000
0.0000 0.5000 0.0000
0.5000 0.0000 0.0000
0.5000 0.5000 0.5000

AlBi2Pb, relaxed, DFT PBE-GGA; magnetic moment = 0.0 Bohr magnetons per cell; ΔE_f = 58 kJ/mol of formula units; D(E_F) = 0.70 states/eV per atom; volume = 28.76 A^3/atom
1.0
3.5986 0.0000 0.0000
0.0000 3.5986 0.0000
0.0000 0.0000 8.8846
Al Bi Pb
1 2 1
direct
0.0000 0.0000 0.0000
0.5000 0.5000 0.2122
0.5000 0.5000 0.7878
0.0000 0.0000 0.5000

> The lowest volume belongs to which entry?

LiHf2B